DyMn2O4 | PBE with a Hubbard U | optimized geometry

Values from the calculation:
* E above lowest polymorph: 0.000 eV/atom
* spin magnetization: 1.2857 μB per atom
* DOS at the Fermi energy: 0.15 states/eV per atom
* volume: 281 Å³/cell

```
data_DyMn2O4
_chemical_formula_sum 'Dy3 Mn6 O12'
_cell_length_a 3.6010
_cell_length_b 3.6010
_cell_length_c 25.0204
_cell_angle_alpha 90.00
_cell_angle_beta 90.00
_cell_angle_gamma 120.00
_symmetry_space_group_name_H-M 'R -3 m'
_symmetry_Int_Tables_number 166
_symmetry_space_group_name_Hall '-R 3 2"'
loop_
_atom_site_label
_atom_site_fract_x
_atom_site_fract_y
_atom_site_fract_z
Dy1 0.0000 0.0000 0.0000
Mn1 0.0000 0.0000 0.2136
O1 0.0000 0.0000 0.1299
O2 0.0000 0.0000 0.2929
```